Record 1
Computed, not measured: SrZr2BeN4 after structural relaxation at the PBE-GGA level of DFT.

Unit cell a=3.289 b=5.797 c=10.945 alpha=90.00 beta=90.00 gamma=106.48
Element x y z (fractional)
N (0.257, 0.514, 0.115)
N (0.590, 0.180, 0.250)
N (0.410, 0.820, 0.750)
N (0.000, 0.000, 0.500)
N (0.743, 0.486, 0.885)
N (0.257, 0.514, 0.385)
N (0.743, 0.486, 0.615)
N (0.000, 0.000, 0.000)
Zr (0.635, 0.270, 0.446)
Zr (0.365, 0.730, 0.554)
Zr (0.365, 0.730, 0.946)
Zr (0.635, 0.270, 0.054)
Be (0.176, 0.351, 0.250)
Be (0.824, 0.649, 0.750)
Sr (0.902, 0.803, 0.250)
Sr (0.098, 0.197, 0.750)

Results
Raw formation energy (eV per atom): -1.42
Space group: Cmcm
VASP energy (eV/atom): -8.39


Record 2
Computed, not measured: TaBeN after structural relaxation at the PBE-GGA level of DFT.

Unit cell a=2.932 b=2.932 c=24.660 alpha=90.00 beta=90.00 gamma=120.00
Element x y z (fractional)
N (0.667, 0.333, 0.629)
N (0.000, 0.000, 0.863)
N (0.333, 0.667, 0.530)
N (0.000, 0.000, 0.295)
N (0.333, 0.667, 0.962)
N (0.667, 0.333, 0.196)
Be (0.667, 0.333, 0.865)
Be (0.000, 0.000, 0.532)
Be (0.333, 0.667, 0.605)
Be (0.667, 0.333, 0.272)
Be (0.333, 0.667, 0.199)
Be (0.000, 0.000, 0.938)
Ta (0.667, 0.333, 0.457)
Ta (0.333, 0.667, 0.790)
Ta (0.000, 0.000, 0.123)
Ta (0.000, 0.000, 0.690)
Ta (0.667, 0.333, 0.023)
Ta (0.333, 0.667, 0.356)

Results
Raw formation energy (eV per atom): -0.66
Space group: R3m
VASP energy (eV/atom): -8.63


Record 3
Computed, not measured: TaBe3N after structural relaxation at the PBE-GGA level of DFT.

Unit cell a=4.503 b=4.503 c=4.503 alpha=90.00 beta=90.00 gamma=90.00
Element x y z (fractional)
Be (0.000, 0.500, 0.000)
Be (0.500, 0.000, 0.000)
Be (0.000, 0.000, 0.500)
N (0.500, 0.500, 0.500)
Ta (0.000, 0.000, 0.000)

Results
Raw formation energy (eV per atom): 2.83
Space group: Pm-3m
VASP energy (eV/atom): -3.45


Record 4
Computed, not measured: Ta4BeN after structural relaxation at the PBE-GGA level of DFT.

Unit cell a=5.075 b=6.366 c=6.341 alpha=120.56 beta=90.00 gamma=90.00
Element x y z (fractional)
Be (0.000, 0.500, 0.500)
Be (0.500, 0.000, 0.500)
Ta (0.232, 0.814, 0.158)
Ta (0.732, 0.686, 0.842)
Ta (0.268, 0.314, 0.158)
Ta (0.242, 0.336, 0.690)
Ta (0.768, 0.186, 0.842)
Ta (0.758, 0.664, 0.310)
Ta (0.258, 0.836, 0.690)
Ta (0.742, 0.164, 0.310)
N (0.000, 0.000, 0.000)
N (0.500, 0.500, 0.000)

Results
Raw formation energy (eV per atom): -0.25
Space group: P2_1/c
VASP energy (eV/atom): -10.16


Record 5
Computed, not measured: TaBeN after structural relaxation at the PBE-GGA level of DFT.

Unit cell a=9.014 b=2.957 c=4.980 alpha=90.00 beta=105.34 gamma=90.00
Element x y z (fractional)
N (0.797, 0.000, 0.751)
N (0.797, 0.500, 0.251)
N (0.086, 0.000, 0.220)
N (0.086, 0.500, 0.720)
Ta (0.551, 0.500, 0.131)
Ta (0.259, 0.000, 0.973)
Ta (0.551, 0.000, 0.631)
Ta (0.259, 0.500, 0.473)
Be (0.788, 0.000, 0.083)
Be (0.989, 0.500, 0.346)
Be (0.788, 0.500, 0.583)
Be (0.989, 0.000, 0.846)

Results
Raw formation energy (eV per atom): -0.66
Space group: Cm
VASP energy (eV/atom): -8.63


Record 6
Computed, not measured: TaBeN after structural relaxation at the PBE-GGA level of DFT.

Unit cell a=3.009 b=3.009 c=4.187 alpha=90.00 beta=90.00 gamma=120.00
Element x y z (fractional)
Ta (0.000, 0.000, 0.500)
N (0.000, 0.000, 0.000)
Be (0.333, 0.667, 0.000)

Results
Raw formation energy (eV per atom): -0.77
Space group: P-6m2
VASP energy (eV/atom): -8.74


Record 7
Computed, not measured: TaBeN after structural relaxation at the PBE-GGA level of DFT.

Unit cell a=8.564 b=2.961 c=5.019 alpha=90.00 beta=94.47 gamma=90.00
Element x y z (fractional)
Ta (0.377, 0.000, 0.507)
Ta (0.672, 0.000, 0.077)
Ta (0.377, 0.500, 0.007)
Ta (0.672, 0.500, 0.577)
Be (0.123, 0.000, 0.134)
Be (0.907, 0.500, 0.944)
Be (0.123, 0.500, 0.634)
Be (0.907, 0.000, 0.444)
N (0.206, 0.500, 0.315)
N (0.923, 0.500, 0.612)
N (0.206, 0.000, 0.815)
N (0.923, 0.000, 0.112)

Results
Raw formation energy (eV per atom): -0.71
Space group: Cm
VASP energy (eV/atom): -8.68


Record 8
Computed, not measured: TaBeN after structural relaxation at the PBE-GGA level of DFT.

Unit cell a=4.192 b=10.044 c=2.902 alpha=90.00 beta=90.00 gamma=90.00
Element x y z (fractional)
Be (0.500, 0.596, 0.750)
Be (0.000, 0.096, 0.750)
Be (0.500, 0.404, 0.250)
Be (0.000, 0.904, 0.250)
Ta (0.000, 0.630, 0.250)
Ta (0.500, 0.870, 0.750)
Ta (0.000, 0.370, 0.750)
Ta (0.500, 0.130, 0.250)
N (0.000, 0.189, 0.250)
N (0.500, 0.311, 0.750)
N (0.500, 0.689, 0.250)
N (0.000, 0.811, 0.750)

Results
Raw formation energy (eV per atom): -0.63
Space group: Cmcm
VASP energy (eV/atom): -8.60


Record 9
Computed, not measured: TaBe2N after structural relaxation at the PBE-GGA level of DFT.

Unit cell a=6.142 b=6.142 c=4.843 alpha=50.64 beta=50.64 gamma=90.00
Element x y z (fractional)
Ta (0.750, 0.250, 0.500)
Ta (0.000, 0.000, 0.000)
N (0.250, 0.750, 0.500)
N (0.500, 0.500, 0.000)
Be (0.875, 0.781, 0.750)
Be (0.375, 0.469, 0.750)
Be (0.219, 0.625, 0.250)
Be (0.531, 0.125, 0.250)

Results
Raw formation energy (eV per atom): -0.05
Space group: I-42d
VASP energy (eV/atom): -6.96


Record 10
Computed, not measured: TaBeN after structural relaxation at the PBE-GGA level of DFT.

Unit cell a=2.911 b=4.302 c=4.730 alpha=90.00 beta=90.00 gamma=90.00
Element x y z (fractional)
Ta (0.000, 0.883, 0.845)
Ta (0.500, 0.117, 0.345)
Be (0.500, 0.370, 0.856)
Be (0.000, 0.630, 0.356)
N (0.000, 0.375, 0.653)
N (0.500, 0.625, 0.153)

Results
Raw formation energy (eV per atom): -0.69
Space group: Pmn2_1
VASP energy (eV/atom): -8.66


Record 11
Computed, not measured: TaBeN after structural relaxation at the PBE-GGA level of DFT.

Unit cell a=2.963 b=2.963 c=23.608 alpha=90.00 beta=90.00 gamma=120.00
Element x y z (fractional)
Be (0.000, 0.000, 0.636)
Be (0.333, 0.667, 0.030)
Be (0.333, 0.667, 0.303)
Be (0.667, 0.333, 0.970)
Be (0.667, 0.333, 0.697)
Be (0.000, 0.000, 0.364)
N (0.667, 0.333, 0.047)
N (0.667, 0.333, 0.620)
N (0.000, 0.000, 0.713)
N (0.000, 0.000, 0.287)
N (0.333, 0.667, 0.380)
N (0.333, 0.667, 0.953)
Ta (0.000, 0.000, 0.114)
Ta (0.000, 0.000, 0.886)
Ta (0.667, 0.333, 0.447)
Ta (0.333, 0.667, 0.780)
Ta (0.667, 0.333, 0.220)
Ta (0.333, 0.667, 0.553)

Results
Raw formation energy (eV per atom): -0.73
Space group: R-3m
VASP energy (eV/atom): -8.70


Record 12
Computed, not measured: TaBe3N after structural relaxation at the PBE-GGA level of DFT.

Unit cell a=3.674 b=3.674 c=3.674 alpha=90.00 beta=90.00 gamma=90.00
Element x y z (fractional)
N (0.000, 0.000, 0.000)
Be (0.000, 0.000, 0.500)
Be (0.500, 0.000, 0.000)
Be (0.000, 0.500, 0.000)
Ta (0.500, 0.500, 0.500)

Results
Raw formation energy (eV per atom): 0.40
Space group: Pm-3m
VASP energy (eV/atom): -5.88


Record 13
Computed, not measured: TaBeN after structural relaxation at the PBE-GGA level of DFT.

Unit cell a=2.936 b=2.936 c=11.919 alpha=90.00 beta=90.00 gamma=120.00
Element x y z (fractional)
N (0.000, 0.000, 0.812)
N (0.667, 0.333, 0.145)
N (0.333, 0.667, 0.479)
Ta (0.667, 0.333, 0.346)
Ta (0.333, 0.667, 0.680)
Ta (0.000, 0.000, 0.013)
Be (0.667, 0.333, 0.851)
Be (0.000, 0.000, 0.517)
Be (0.333, 0.667, 0.184)

Results
Raw formation energy (eV per atom): -0.70
Space group: R3m
VASP energy (eV/atom): -8.66


Record 14
Computed, not measured: TaBeN after structural relaxation at the PBE-GGA level of DFT.

Unit cell a=3.670 b=3.670 c=5.995 alpha=72.18 beta=72.18 gamma=60.00
Element x y z (fractional)
N (0.723, 0.723, 0.832)
N (0.277, 0.277, 0.168)
Ta (0.406, 0.406, 0.783)
Ta (0.594, 0.594, 0.217)
Be (0.821, 0.821, 0.537)
Be (0.179, 0.179, 0.463)

Results
Raw formation energy (eV per atom): -0.60
Space group: R-3m
VASP energy (eV/atom): -8.56


Record 15
Computed, not measured: TaBeN after structural relaxation at the PBE-GGA level of DFT.

Unit cell a=8.772 b=3.051 c=5.022 alpha=90.00 beta=95.22 gamma=90.00
Element x y z (fractional)
Ta (0.652, 0.000, 0.276)
Ta (0.348, 0.500, 0.224)
Ta (0.652, 0.500, 0.776)
Ta (0.348, 0.000, 0.724)
N (0.121, 0.500, 0.189)
N (0.879, 0.000, 0.311)
N (0.121, 0.000, 0.689)
N (0.879, 0.500, 0.811)
Be (0.913, 0.000, 0.654)
Be (0.087, 0.500, 0.846)
Be (0.087, 0.000, 0.346)
Be (0.913, 0.500, 0.154)

Results
Raw formation energy (eV per atom): -0.61
Space group: C2/m
VASP energy (eV/atom): -8.58


Record 16
Computed, not measured: TaBeTe2N after structural relaxation at the PBE-GGA level of DFT.

Unit cell a=5.529 b=5.529 c=3.884 alpha=90.00 beta=90.00 gamma=90.00
Element x y z (fractional)
Te (0.500, 0.000, 0.000)
Te (0.000, 0.500, 0.000)
Be (0.500, 0.500, 0.500)
N (0.000, 0.000, 0.500)
Ta (0.000, 0.000, 0.000)

Results
Raw formation energy (eV per atom): 0.54
Space group: P4/mmm
VASP energy (eV/atom): -5.50


Record 17
Computed, not measured: TaBeTe2N after structural relaxation at the PBE-GGA level of DFT.

Unit cell a=5.352 b=5.352 c=3.095 alpha=90.00 beta=90.00 gamma=90.00
Element x y z (fractional)
N (0.000, 0.000, 0.500)
Te (0.500, 0.000, 0.000)
Te (0.000, 0.500, 0.000)
Ta (0.500, 0.500, 0.500)
Be (0.000, 0.000, 0.000)

Results
Raw formation energy (eV per atom): 0.58
Space group: P4/mmm
VASP energy (eV/atom): -5.45


Record 18
Computed, not measured: Th2TaBeN5 after structural relaxation at the PBE-GGA level of DFT.

Unit cell a=3.294 b=7.018 c=10.122 alpha=90.00 beta=90.00 gamma=103.57
Element x y z (fractional)
N (0.700, 0.401, 0.159)
N (0.039, 0.079, 0.009)
N (0.498, 0.996, 0.782)
N (0.313, 0.627, 0.380)
N (0.300, 0.599, 0.659)
N (0.502, 0.004, 0.282)
N (0.687, 0.373, 0.880)
N (0.656, 0.312, 0.515)
N (0.961, 0.921, 0.509)
N (0.344, 0.688, 0.015)
Th (0.126, 0.252, 0.332)
Th (0.874, 0.748, 0.832)
Th (0.114, 0.229, 0.690)
Th (0.886, 0.771, 0.190)
Ta (0.811, 0.621, 0.520)
Ta (0.189, 0.379, 0.020)
Be (0.550, 0.100, 0.937)
Be (0.450, 0.900, 0.437)

Results
Raw formation energy (eV per atom): -1.30
Space group: Cmc2_1
VASP energy (eV/atom): -9.31


Record 19
Computed, not measured: U2TaBeN5 after structural relaxation at the PBE-GGA level of DFT.

Unit cell a=3.153 b=6.715 c=9.816 alpha=90.00 beta=90.00 gamma=103.58
Element x y z (fractional)
N (0.965, 0.929, 0.537)
N (0.702, 0.404, 0.154)
N (0.692, 0.385, 0.858)
N (0.308, 0.615, 0.358)
N (0.357, 0.714, 0.006)
N (0.035, 0.071, 0.037)
N (0.506, 0.012, 0.289)
N (0.298, 0.596, 0.654)
N (0.643, 0.286, 0.506)
N (0.494, 0.988, 0.789)
Be (0.500, 0.001, 0.978)
Be (0.500, 0.999, 0.478)
U (0.131, 0.263, 0.309)
U (0.884, 0.768, 0.189)
U (0.869, 0.737, 0.809)
U (0.116, 0.232, 0.689)
Ta (0.193, 0.386, 0.005)
Ta (0.807, 0.614, 0.505)

Results
Raw formation energy (eV per atom): -1.19
Space group: Cmc2_1
VASP energy (eV/atom): -10.05


Record 20
Computed, not measured: TaBe2WN after structural relaxation at the PBE-GGA level of DFT.

Unit cell a=4.400 b=4.827 c=4.400 alpha=90.00 beta=90.00 gamma=90.00
Element x y z (fractional)
Be (0.000, 0.000, 0.500)
Be (0.500, 0.000, 0.000)
N (0.500, 0.500, 0.500)
Ta (0.000, 0.000, 0.000)
W (0.000, 0.500, 0.000)

Results
Raw formation energy (eV per atom): 2.87
Space group: P4/mmm
VASP energy (eV/atom): -5.24


Record 21
Computed, not measured: TaBeZn2N4 after structural relaxation at the PBE-GGA level of DFT.

Unit cell a=5.203 b=5.679 c=6.192 alpha=90.00 beta=90.00 gamma=90.00
Element x y z (fractional)
N (0.874, 0.879, 0.500)
N (0.838, 0.837, 0.000)
N (0.396, 0.681, 0.762)
N (0.338, 0.163, 0.500)
N (0.374, 0.121, 0.000)
N (0.896, 0.319, 0.738)
N (0.896, 0.319, 0.262)
N (0.396, 0.681, 0.238)
Zn (0.501, 0.338, 0.752)
Zn (0.501, 0.338, 0.248)
Zn (0.001, 0.662, 0.748)
Zn (0.001, 0.662, 0.252)
Ta (0.496, 0.849, 0.500)
Ta (0.996, 0.151, 0.000)
Be (0.499, 0.825, 0.000)
Be (0.999, 0.175, 0.500)

Results
Raw formation energy (eV per atom): -0.40
Space group: Pmn2_1
VASP energy (eV/atom): -6.83


Record 22
Computed, not measured: Tb2BeN after structural relaxation at the PBE-GGA level of DFT.

Unit cell a=3.440 b=3.440 c=8.694 alpha=78.59 beta=78.59 gamma=60.00
Element x y z (fractional)
Tb (0.885, 0.885, 0.344)
Tb (0.115, 0.115, 0.656)
N (0.500, 0.500, 0.500)
Be (0.000, 0.000, 0.000)

Results
Raw formation energy (eV per atom): -0.14
Space group: R-3m
VASP energy (eV/atom): -5.46